La2Ga5Cu3 | PBEsol | relaxed

Unit cell a=4.246 b=4.246 c=10.077 alpha=90.00 beta=90.00 gamma=90.00
Space group P-4m2 (No. 115)
Asymmetric unit:
La: 0.000 0.500 0.244 x2
Ga: 0.000 0.000 0.500 x1
Ga: 0.000 0.500 0.635 x2
Ga: 0.000 0.500 0.883 x2
Cu: 0.000 0.000 0.000 x1
Cu: 0.500 0.500 0.000 x1
Cu: 0.500 0.500 0.500 x1

Calculated values
Formation energy from the elements (eV/atom): -0.508
Uncorrected energy (eV per atom): -4.55